[1]
The following is a GGA-PBE calculation of a relaxed structure of La12H5Ir3, from Alexandria.

Lattice parameters (Å, degrees): 15.8654 15.8654 15.8654 90.00 90.00 90.00
Space group Ia-3d (No. 230)
Symmetry-distinct sites (fractional):
La1 0.0328 0.0659 0.6546 [96 per cell]
H1 0.0000 0.0000 0.0000 [16 per cell]
H2 0.0000 0.2500 0.3750 [24 per cell]
Ir1 0.0000 0.2500 0.1250 [24 per cell]

- VASP energy (eV/atom) = -5.549
- V (Å³/atom) = 25.0

=====

[2]
The following is a GGA-PBE calculation of a relaxed structure of MnCu2As, from Alexandria.

Lattice parameters (Å, degrees): 9.0084 2.7806 4.4790 90.00 99.75 90.00
Space group C2/m (No. 12)
Symmetry-distinct sites (fractional):
Mn1 0.0000 0.0000 0.0000 [2 per cell]
Cu1 0.2480 0.5000 0.2422 [4 per cell]
As1 0.0000 0.5000 0.5000 [2 per cell]

- energy of formation (meV per atom) = 102
- V (Å³/atom) = 13.8

=====

[3]
The following is a GGA-PBE calculation of a relaxed structure of SiTeBr2, from Alexandria.

Lattice parameters (Å, degrees): 3.6358 3.6358 34.3706 90.00 90.00 120.00
Space group R-3m (No. 166, hexagonal axes)
Symmetry-distinct sites (fractional):
Si1 0.0000 0.0000 0.0000 [3 per cell]
Te1 0.0000 0.0000 0.5000 [3 per cell]
Br1 0.0000 0.0000 0.2832 [6 per cell]

- E_form (uncorrected) (eV per atom) = 0.096
- excess energy over the best structure of this formula in the dataset (eV per atom) = 0.2334
- V (Å³/atom) = 32.8

=====

[4]
The following is a GGA-PBE calculation of a relaxed structure of Ho12Er7Sn, from Alexandria.

Lattice parameters (Å, degrees): 11.9664 11.9664 15.1582 90.00 90.00 120.00
Space group R-3 (No. 148, hexagonal axes)
Symmetry-distinct sites (fractional):
Ho1 0.0297 0.5778 0.2072 [18 per cell]
Ho2 0.0570 0.4706 0.5878 [18 per cell]
Er1 0.0000 0.0000 0.0000 [3 per cell]
Er2 0.0499 0.8626 0.3042 [18 per cell]
Sn1 0.0000 0.0000 0.5000 [3 per cell]

- energy of formation (meV per atom) = 139
- V (Å³/atom) = 31.3

=====

[5]
The following is a GGA-PBE calculation of a relaxed structure of Mg2CuP, from Alexandria.

Lattice parameters (Å, degrees): 5.6858 5.6858 12.8914 90.00 90.00 90.00
Space group I-42d (No. 122)
Symmetry-distinct sites (fractional):
Mg1 0.2120 0.2500 0.1250 [8 per cell]
Cu1 0.0000 0.0000 0.5000 [4 per cell]
P1 0.0000 0.0000 0.0000 [4 per cell]

- energy of formation (meV per atom) = 172
- V (Å³/atom) = 26.0

=====

[6]
The following is a GGA-PBE calculation of a relaxed structure of CdCoRe2Sn, from Alexandria.

Lattice parameters (Å, degrees): 4.9570 4.9570 4.6131 90.00 90.00 90.00
Space group P4/mmm (No. 123)
Symmetry-distinct sites (fractional):
Cd1 0.0000 0.0000 0.0000 [1 per cell]
Co1 0.5000 0.5000 0.0000 [1 per cell]
Re1 0.0000 0.5000 0.5000 [2 per cell]
Sn1 0.5000 0.5000 0.5000 [1 per cell]

- energy of formation (meV per atom) = 2148
- V (Å³/atom) = 22.7

=====

Which value of V does entry 6 give? 22.7 Å³/atom

=====

What did the third record say?
The following is a GGA-PBE calculation of a relaxed structure of SiTeBr2, from Alexandria.

Lattice parameters (Å, degrees): 3.6358 3.6358 34.3706 90.00 90.00 120.00
Space group R-3m (No. 166, hexagonal axes)
Symmetry-distinct sites (fractional):
Si1 0.0000 0.0000 0.0000 [3 per cell]
Te1 0.0000 0.0000 0.5000 [3 per cell]
Br1 0.0000 0.0000 0.2832 [6 per cell]

- E_form (uncorrected) (eV per atom) = 0.096
- excess energy over the best structure of this formula in the dataset (eV per atom) = 0.2334
- V (Å³/atom) = 32.8

=====

The lowest V belongs to which entry? MnCu2As

=====

Among the records above, which one has the lowest V? MnCu2As